Compound: HoMgZr
Source: Alexandria via LeMat-Bulk
Functional: GGA-PBE
Structure: optimized geometry

The structure in POSCAR format:
```
HoMgZr
1.0
3.282 0.000 0.000
0.000 4.883 0.000
-1.608 0.000 9.592
Ho Mg Zr
2 2 2
Cartesian
0.000 0.000 0.000
0.030 2.442 4.651
1.629 2.442 1.505
1.673 0.000 3.147
0.035 2.442 7.809
1.677 0.000 6.434
```

Output
E_tot in eV/cell: -29.3
Magnetic moment in μB/f.u.: 0.00

***

Compound: HoMgZr
Source: Alexandria via LeMat-Bulk
Functional: GGA-PBE
Structure: optimized geometry

The structure in POSCAR format:
```
HoMgZr
1.0
3.326 0.000 0.000
0.000 3.326 0.000
0.000 0.000 13.812
Ho Mg Zr
2 2 2
Cartesian
0.000 0.000 0.000
1.663 1.663 6.859
0.000 0.000 9.316
1.663 1.663 11.369
0.000 0.000 4.515
1.663 1.663 2.342
```

Output
E_tot in eV/cell: -29.5
Magnetic moment in μB/f.u.: 0.00

***

Compound: Ho2MgZr
Source: Alexandria via LeMat-Bulk
Functional: GGA-PBE
Structure: optimized geometry

The structure in POSCAR format:
```
Ho2MgZr
1.0
0.000 3.770 3.770
3.770 0.000 3.770
3.770 3.770 0.000
Ho Mg Zr
2 1 1
Cartesian
1.885 1.885 1.885
5.655 5.655 5.655
0.000 0.000 0.000
3.770 3.770 3.770
```

Output
E_tot in eV/cell: -18.8
Magnetic moment in μB/f.u.: 2.06